# AlPbI5

An optimized crystal structure of AlPbI5 (PBE-GGA, the Alexandria database).

a = 8.3254 Å, b = 8.3254 Å, c = 11.6619 Å
α = 110.33°, β = 110.33°, γ = 88.06°
Closest atoms and distances in Å follow each position.
Fractional positions:
Al 0.1056 0.8944 0.7500  4 I 2.57-2.58
Al 0.8944 0.1056 0.2500  4 I 2.57-2.58
Pb 0.5000 0.5000 0.0000  6 I 3.16-3.32
Pb 0.5000 0.5000 0.5000  6 I 3.16-3.32
I 0.1474 0.2267 0.8366  1 Al 2.58
I 0.2083 0.7687 0.5556  1 Al 2.57
I 0.2267 0.1474 0.3366  1 Al 2.58
I 0.2313 0.7917 0.9444  1 Al 2.57
I 0.3955 0.6045 0.2500  2 Pb 3.16
I 0.6045 0.3955 0.7500  2 Pb 3.16
I 0.7687 0.2083 0.0556  1 Al 2.57
I 0.7733 0.8526 0.6634  1 Al 2.58
I 0.7917 0.2313 0.4444  1 Al 2.57
I 0.8526 0.7733 0.1634  1 Al 2.58

Properties
- Energy relative to the elements, uncorrected: -605 meV per atom
- Fermi-level density of states: 0.00 states/eV per atom
- Total magnetic moment: 0.0 μB per cell

=====

# RbInGe

An optimized crystal structure of RbInGe (PBE-GGA, the Alexandria database).

a = 4.6291 Å, b = 4.6291 Å, c = 11.7122 Å
α = 90.00°, β = 90.00°, γ = 120.00°
Closest atoms and distances in Å follow each position.
Fractional positions:
Rb 0.0000 0.0000 0.0000  6 Ge 3.96, 6 In 3.96
Rb 0.0000 0.0000 0.5000  6 In 3.96, 6 Ge 3.96
In 0.3333 0.6667 0.2500  3 Ge 2.67
In 0.6667 0.3333 0.7500  3 Ge 2.67
Ge 0.3333 0.6667 0.7500  3 In 2.67
Ge 0.6667 0.3333 0.2500  3 In 2.67

Properties
- Fermi-level density of states: 0.00 states/eV per atom
- Total magnetic moment: 0.0 μB per cell
- DFT formation energy: -0.28 eV/f.u.

=====

# SrLaTc4

An optimized crystal structure of SrLaTc4 (PBE-GGA, the Alexandria database).

a = 5.5369 Å, b = 5.5369 Å, c = 5.5369 Å
α = 60.00°, β = 60.00°, γ = 60.00°
Closest atoms and distances in Å follow each position.
Fractional positions:
Sr 0.0000 0.0000 0.0000  12 Tc 3.25, 4 La 3.39
La 0.2500 0.2500 0.2500  12 Tc 3.25, 4 Sr 3.39
Tc 0.1251 0.6250 0.6250  6 Tc 2.77
Tc 0.6250 0.1251 0.6250  6 Tc 2.77
Tc 0.6250 0.6250 0.1251  6 Tc 2.77
Tc 0.6250 0.6250 0.6250  6 Tc 2.77

Properties
- Fermi-level density of states: 1.31 states/eV per atom
- Total magnetic moment: 0.0 μB per cell
- DFT formation energy: 2.04 eV/f.u.

=====

# PmPRuO

An optimized crystal structure of PmPRuO (PBE-GGA, the Alexandria database).

a = 4.0394 Å, b = 4.0394 Å, c = 8.1899 Å
α = 90.00°, β = 90.00°, γ = 90.00°
Closest atoms and distances in Å follow each position.
Fractional positions:
Pm 0.2500 0.2500 0.1409  4 O 2.33
Pm 0.7500 0.7500 0.8591  4 O 2.33
P 0.2500 0.2500 0.6428  4 Ru 2.33
P 0.7500 0.7500 0.3572  4 Ru 2.33
Ru 0.2500 0.7500 0.5000  4 P 2.33
Ru 0.7500 0.2500 0.5000  4 P 2.33
O 0.2500 0.7500 0.0000  4 Pm 2.33
O 0.7500 0.2500 0.0000  4 Pm 2.33

Properties
- Energy relative to the elements, uncorrected: -2013 meV per atom
- Fermi-level density of states: 0.43 states/eV per atom
- Total magnetic moment: 0.0 μB per cell

=====

# TbGa4Ni2Pd

An optimized crystal structure of TbGa4Ni2Pd (PBE-GGA, the Alexandria database).

a = 9.0749 Å, b = 9.0749 Å, c = 9.0749 Å
α = 26.42°, β = 26.42°, γ = 26.42°
Closest atoms and distances in Å follow each position.
Fractional positions:
Tb 0.0000 0.0000 0.0000  8 Ga 2.97-3.31
Ga 0.1262 0.1262 0.1262  3 Ni 2.50, 3 Pd 2.62
Ga 0.4000 0.4000 0.4000  3 Ni 2.54, 1 Pd 2.62
Ga 0.6000 0.6000 0.6000  3 Ni 2.54, 1 Pd 2.62
Ga 0.8738 0.8738 0.8738  3 Ni 2.50, 3 Pd 2.62
Ni 0.2339 0.2339 0.2339  6 Ga 2.50-2.54
Ni 0.7661 0.7661 0.7661  6 Ga 2.50-2.54
Pd 0.5000 0.5000 0.5000  8 Ga 2.62

Properties
- Fermi-level density of states: 0.61 states/eV per atom
- Total magnetic moment: 0.0 μB per cell
- DFT formation energy: -3.98 eV/f.u.

=====

# BaZnRu

An optimized crystal structure of BaZnRu (PBE-GGA, the Alexandria database).

a = 6.0833 Å, b = 6.0833 Å, c = 6.0833 Å
α = 145.98°, β = 145.98°, γ = 48.87°
Closest atoms and distances in Å follow each position.
Fractional positions:
Ba 0.0000 0.0000 0.0000  1 Zn 3.03, 1 Ru 3.10
Zn 0.2738 0.2738 0.0000  4 Ru 2.59
Ru 0.7197 0.7197 0.0000  4 Zn 2.59

Properties
- Fermi-level density of states: 0.55 states/eV per atom
- Total magnetic moment: 0.0 μB per cell
- DFT formation energy: 0.68 eV/f.u.